No. 1
Here is an optimized crystal structure of VNi2H2 from Alexandria. Energies are from PBE-GGA.

E above lowest polymorph: 0.0 kJ/mol of formula units

Cell and atoms, written as CIF:
```
data_VNi2H2
_chemical_formula_sum 'V4 Ni8 H8'
_cell_length_a 4.560
_cell_length_b 7.815
_cell_length_c 4.610
_cell_angle_alpha 90.00
_cell_angle_beta 108.56
_cell_angle_gamma 90.00
_symmetry_space_group_name_H-M 'C 1 2/c 1'
_symmetry_Int_Tables_number 15
loop_
_symmetry_equiv_pos_as_xyz
'x,y,z'
'-x,-y,-z'
'-x,y,-z+1/2'
'x,-y,z+1/2'
'x+1/2,y+1/2,z'
'-x+1/2,-y+1/2,-z'
'-x+1/2,y+1/2,-z+1/2'
'x+1/2,-y+1/2,z+1/2'
loop_
_atom_site_label
_atom_site_fract_x
_atom_site_fract_y
_atom_site_fract_z
_atom_site_occupancy
V1 0.000 0.089 0.250 1
Ni1 0.000 0.251 0.750 1
Ni2 0.000 0.414 0.250 1
H1 0.242 0.421 0.002 1
```



No. 2
Here is an optimized crystal structure of V3NiH from Alexandria. Energies are from PBE-GGA.

E above lowest polymorph: 772.8 kJ/mol of formula units

Cell and atoms, written as CIF:
```
data_V3NiH
_chemical_formula_sum 'V3 Ni1 H1'
_cell_length_a 4.468
_cell_length_b 4.468
_cell_length_c 4.468
_cell_angle_alpha 90.00
_cell_angle_beta 90.00
_cell_angle_gamma 90.00
_symmetry_space_group_name_H-M 'P m -3 m'
_symmetry_Int_Tables_number 221
_symmetry_space_group_name_Hall '-P 4 2 3'
loop_
_atom_site_label
_atom_site_fract_x
_atom_site_fract_y
_atom_site_fract_z
_atom_site_occupancy
V1 0.000 0.000 0.500 1
Ni1 0.000 0.000 0.000 1
H1 0.500 0.500 0.500 1
```



No. 3
Here is an optimized crystal structure of VNi2H2 from Alexandria. Energies are from PBE-GGA.

E above lowest polymorph: 43.8 kJ/mol of formula units

Cell and atoms, written as CIF:
```
data_VNi2H2
_chemical_formula_sum 'V2 Ni4 H4'
_cell_length_a 3.198
_cell_length_b 3.198
_cell_length_c 7.929
_cell_angle_alpha 90.00
_cell_angle_beta 90.00
_cell_angle_gamma 90.00
_symmetry_space_group_name_H-M 'I 4/m m m'
_symmetry_Int_Tables_number 139
_symmetry_space_group_name_Hall '-I 4 2'
loop_
_atom_site_label
_atom_site_fract_x
_atom_site_fract_y
_atom_site_fract_z
_atom_site_occupancy
V1 0.000 0.000 0.000 1
Ni1 0.000 0.000 0.337 1
H1 0.000 0.500 0.250 1
```



No. 4
Here is an optimized crystal structure of V2Ni14H9 from Alexandria. Energies are from PBE-GGA.

energy: -0.1877 Ha/atom

Cell and atoms, written as CIF:
```
data_V2Ni14H9
_chemical_formula_sum 'V2 Ni14 H9'
_cell_length_a 6.3527
_cell_length_b 6.3527
_cell_length_c 5.9109
_cell_angle_alpha 90.00
_cell_angle_beta 90.00
_cell_angle_gamma 120.00
_symmetry_space_group_name_H-M 'P -3'
_symmetry_Int_Tables_number 147
loop_
_symmetry_equiv_pos_as_xyz
'x,y,z'
'-x,-y,-z'
'-y,x-y,z'
'y,-x+y,-z'
'-x+y,-x,z'
'x-y,x,-z'
loop_
_atom_site_label
_atom_site_fract_x
_atom_site_fract_y
_atom_site_fract_z
_atom_site_occupancy
V1 0.3333 0.6667 0.2461 1
Ni1 0.0000 0.0000 0.2669 1
Ni2 0.0859 0.6937 0.9216 1
Ni3 0.1065 0.4162 0.5887 1
H1 0.0000 0.0000 0.0000 1
H2 0.0003 0.2638 0.3436 1
H3 0.3333 0.6667 0.9066 1
```